LiCoAs2 after structural relaxation, computed with PBE-GGA.

Output
- polymorph energy (0 for the lowest one) (eV/atom) = 0.030
- density of states at the Fermi level (states/eV/cell) = 4.04
- total energy (eV/atom) = -4.829
- ΔE_f (meV/atom) = -249
- crystal system = trigonal

extended XYZ file:
```
4
Lattice="-0.256 0.403 7.505 1.440 -2.227 7.037 2.849 0.604 6.933" Properties=species:S:1:pos:R:3 pbc="T T T"
As 3.982 -1.205 21.200
As 2.068 -0.626 11.011
Co 1.008 -0.305 5.369
Li 3.025 -0.915 16.106
```